Entry from Alexandria via LeMat-Bulk: La4Re at its PBEsol-relaxed geometry (meta-GGA SCAN).

Cell: 6.385 6.385 6.385 Å, 50.94 50.94 50.94°
Sites, in units of the cell vectors:
La: 0.117 0.117 0.117
La: 0.338 0.338 0.338
La: 0.662 0.662 0.662
La: 0.883 0.883 0.883
Re: 0.500 0.500 0.500

Calculated density   8.5 Mg/m³
Electronic total energy   -242.6 eV for the cell shown
DOS at the Fermi energy   1.236 states/eV/atom
Symmetry   R-3m (166)
Crystal system   trigonal
Energy of formation   4.1 kcal/mol of atoms